(one)
This record from OQMD describes a relaxed CsSmCo crystal. The functional is GGA-PBE.

Cell: 5.0083 5.0083 5.0083 Å, 60.00 60.00 60.00°
Atoms (fractional coordinates):
Co: 0.0000 0.0000 0.0000
Sm: 0.7500 0.7500 0.7500
Cs: 0.2500 0.2500 0.2500

Computed properties:
As for the total magnetization: 0.02 Bohr magnetons per cell. As for the space group: F-43m, No. 216.

(two)
This record from OQMD describes a relaxed CsSmCo crystal. The functional is GGA-PBE.

Cell: 4.9570 4.9570 4.9570 Å, 60.00 60.00 60.00°
Atoms (fractional coordinates):
Sm: 0.7500 0.7500 0.7500
Co: 0.2500 0.2500 0.2500
Cs: 0.0000 0.0000 0.0000

Computed properties:
As for the total magnetization: 0.94 Bohr magnetons per cell. As for the space group: F-43m, No. 216.

Which of them is most stable, and which least? Most stable: (one); least stable: (two).

(one)
This record from OQMD describes a relaxed CsTmCoTe3 crystal. The functional is GGA-PBE.

Cell: 11.4103 4.2620 17.3113 Å, 90.00 90.00 90.00°
Atoms (fractional coordinates):
Tm: 0.5067 0.2500 0.2512
Tm: 0.9933 0.7500 0.7512
Tm: 0.4933 0.7500 0.7488
Tm: 0.0067 0.2500 0.2488
Te: 0.0689 0.7500 0.3668
Te: 0.9419 0.7500 0.1313
Te: 0.7573 0.2500 0.3063
Te: 0.2427 0.7500 0.6937
Te: 0.7427 0.7500 0.8063
Te: 0.4419 0.7500 0.3687
Te: 0.9311 0.2500 0.6332
Te: 0.5689 0.7500 0.1332
Te: 0.4311 0.2500 0.8668
Te: 0.0581 0.2500 0.8687
Te: 0.5581 0.2500 0.6313
Te: 0.2573 0.2500 0.1937
Co: 0.7564 0.7500 0.2169
Co: 0.2436 0.2500 0.7831
Co: 0.7436 0.2500 0.7169
Co: 0.2564 0.7500 0.2831
Cs: 0.7481 0.7500 0.4914
Cs: 0.2519 0.2500 0.5086
Cs: 0.7519 0.2500 0.9914
Cs: 0.2481 0.7500 0.0086

Computed properties:
As for the total magnetization: 10.81 Bohr magnetons per cell. As for the space group: Pnma, No. 62.

(two)
This record from OQMD describes a relaxed CsTmCoTe3 crystal. The functional is GGA-PBE.

Cell: 10.4760 4.2410 10.6077 Å, 90.00 114.08 90.00°
Atoms (fractional coordinates):
Co: 0.9251 0.7500 0.4093
Co: 0.0749 0.2500 0.5907
Cs: 0.7880 0.7500 0.7552
Cs: 0.2120 0.2500 0.2448
Te: 0.1850 0.7500 0.5405
Te: 0.8802 0.7500 0.1500
Te: 0.4765 0.7500 0.1714
Te: 0.1198 0.2500 0.8500
Te: 0.8150 0.2500 0.4595
Te: 0.5235 0.2500 0.8286
Tm: 0.6696 0.2500 0.1393
Tm: 0.3304 0.7500 0.8607

Computed properties:
As for the total magnetization: 3.92 Bohr magnetons per cell. As for the space group: P2_1/m, No. 11.

Which of them is most stable, and which least? Most stable: (two); least stable: (one).